1.
VASP calculation (GGA-PBE) on a geometry-optimized Mn5Te12Pb3 structure.

Size of the total moment: 67.9 μB per cell
Raw formation energy: -0.10 eV/atom

a = 14.8646 Å, b = 14.8646 Å, c = 14.8646 Å
α = 109.47°, β = 109.47°, γ = 109.47°
Last column: nearest neighbours and their distance in Å.
Element x y z (fractional)
Pb 0.7500 0.3750 0.1250  8 Te 3.36-3.40
Pb 0.8750 0.7500 0.1250  8 Te 3.36-3.40
Pb 0.3750 0.7500 0.6250  8 Te 3.36-3.40
Pb 0.2500 0.1250 0.3750  8 Te 3.36-3.40
Pb 0.8750 0.1250 0.2500  8 Te 3.36-3.40
Pb 0.3750 0.6250 0.2500  8 Te 3.36-3.40
Pb 0.6250 0.3750 0.7500  8 Te 3.36-3.40
Pb 0.1250 0.8750 0.7500  8 Te 3.36-3.40
Pb 0.7500 0.8750 0.6250  8 Te 3.36-3.40
Pb 0.6250 0.2500 0.3750  8 Te 3.36-3.40
Pb 0.1250 0.2500 0.8750  8 Te 3.36-3.40
Pb 0.2500 0.6250 0.8750  8 Te 3.36-3.40
Mn 0.1250 0.3750 0.2500  4 Te 2.59
Mn 0.0000 0.5000 0.0000  6 Te 2.73
Mn 0.0000 0.0000 0.0000  6 Te 2.73
Mn 0.3750 0.2500 0.1250  4 Te 2.59
Mn 0.5000 0.0000 0.5000  6 Te 2.73
Mn 0.5000 0.5000 0.0000  6 Te 2.73
Mn 0.1250 0.7500 0.3750  4 Te 2.59
Mn 0.7500 0.1250 0.8750  4 Te 2.59
Mn 0.7500 0.6250 0.3750  4 Te 2.59
Mn 0.3750 0.1250 0.7500  4 Te 2.59
Mn 0.6250 0.8750 0.2500  4 Te 2.59
Mn 0.5000 0.5000 0.5000  6 Te 2.73
Mn 0.5000 0.0000 0.0000  6 Te 2.73
Mn 0.0000 0.0000 0.5000  6 Te 2.73
Mn 0.2500 0.3750 0.6250  4 Te 2.59
Mn 0.2500 0.8750 0.1250  4 Te 2.59
Mn 0.0000 0.5000 0.5000  6 Te 2.73
Mn 0.8750 0.2500 0.6250  4 Te 2.59
Mn 0.6250 0.7500 0.8750  4 Te 2.59
Mn 0.8750 0.6250 0.7500  4 Te 2.59
Te 0.7016 0.1145 0.0244  2 Mn 2.59-2.73
Te 0.3228 0.5244 0.4098  2 Mn 2.59-2.73
Te 0.9756 0.3855 0.2984  2 Mn 2.59-2.73
Te 0.5244 0.2016 0.1145  2 Mn 2.59-2.73
Te 0.5871 0.7016 0.6772  2 Mn 2.59-2.73
Te 0.9756 0.5902 0.1772  2 Mn 2.59-2.73
Te 0.3228 0.7984 0.4129  2 Mn 2.59-2.73
Te 0.0902 0.9129 0.1145  2 Mn 2.59-2.73
Te 0.5902 0.9756 0.6772  2 Mn 2.59-2.73
Te 0.7016 0.5871 0.1772  2 Mn 2.59-2.73
Te 0.7984 0.4756 0.3855  2 Mn 2.59-2.73
Te 0.8228 0.9098 0.0244  2 Mn 2.59-2.73
Te 0.1145 0.7016 0.5244  2 Mn 2.59-2.73
Te 0.3855 0.4098 0.0871  2 Mn 2.59-2.73
Te 0.0871 0.9098 0.3855  2 Mn 2.59-2.73
Te 0.4129 0.1145 0.5902  2 Mn 2.59-2.73
Te 0.0871 0.1772 0.2016  2 Mn 2.59-2.73
Te 0.4756 0.6772 0.0902  2 Mn 2.59-2.73
Te 0.8228 0.9129 0.2984  2 Mn 2.59-2.73
Te 0.1145 0.4129 0.0902  2 Mn 2.59-2.73
Te 0.3855 0.9756 0.7984  2 Mn 2.59-2.73
Te 0.5902 0.6145 0.4129  2 Mn 2.59-2.73
Te 0.9098 0.8228 0.5244  2 Mn 2.59-2.73
Te 0.7984 0.3228 0.9129  2 Mn 2.59-2.73
Te 0.4098 0.3855 0.5871  2 Mn 2.59-2.73
Te 0.0902 0.1772 0.4756  2 Mn 2.59-2.73
Te 0.2016 0.6772 0.0871  2 Mn 2.59-2.73
Te 0.1772 0.0871 0.7016  2 Mn 2.59-2.73
Te 0.6145 0.0244 0.2016  2 Mn 2.59-2.73
Te 0.8855 0.5871 0.9098  2 Mn 2.59-2.73
Te 0.5244 0.3228 0.9098  2 Mn 2.59-2.73
Te 0.5871 0.8855 0.4098  2 Mn 2.59-2.73
Te 0.9129 0.8228 0.7984  2 Mn 2.59-2.73
Te 0.9129 0.0902 0.6145  2 Mn 2.59-2.73
Te 0.8855 0.2984 0.4756  2 Mn 2.59-2.73
Te 0.1772 0.0902 0.9756  2 Mn 2.59-2.73
Te 0.6145 0.5902 0.9129  2 Mn 2.59-2.73
Te 0.4098 0.0244 0.3228  2 Mn 2.59-2.73
Te 0.2984 0.4129 0.8228  2 Mn 2.59-2.73
Te 0.2016 0.5244 0.6145  2 Mn 2.59-2.73
Te 0.9098 0.0871 0.8855  2 Mn 2.59-2.73
Te 0.6772 0.2016 0.5871  2 Mn 2.59-2.73
Te 0.4756 0.7984 0.8855  2 Mn 2.59-2.73
Te 0.0244 0.4098 0.8228  2 Mn 2.59-2.73
Te 0.4129 0.2984 0.3228  2 Mn 2.59-2.73
Te 0.0244 0.6145 0.7016  2 Mn 2.59-2.73
Te 0.6772 0.4756 0.5902  2 Mn 2.59-2.73
Te 0.2984 0.8855 0.9756  2 Mn 2.59-2.73

=====

2.
VASP calculation (GGA-PBE) on a geometry-optimized Tm3Sc2Hg3 structure.

Size of the total moment: 0.0 μB per cell
Formation enthalpy at 0 K: -0.352 eV per atom

a = 3.6494 Å, b = 5.1178 Å, c = 11.0964 Å
α = 103.33°, β = 99.46°, γ = 90.00°
Last column: nearest neighbours and their distance in Å.
Element x y z (fractional)
Tm 0.6247 0.6247 0.2495  6 Hg 3.14-3.22, 4 Sc 3.48-3.49
Tm 0.3753 0.3753 0.7505  6 Hg 3.14-3.22, 4 Sc 3.48-3.49
Tm 0.5000 0.0000 0.0000  8 Hg 3.14-3.23
Sc 0.7353 0.2353 0.4707  2 Hg 2.97, 4 Sc 3.20
Sc 0.2647 0.7647 0.5293  2 Hg 2.97, 4 Sc 3.20
Hg 0.1250 0.1250 0.2501  2 Sc 2.97, 6 Tm 3.14-3.23
Hg 0.0000 0.5000 0.0000  8 Tm 3.14-3.22
Hg 0.8750 0.8750 0.7499  2 Sc 2.97, 6 Tm 3.14-3.23